Below is crystalline Tb2PdAu8 at its relaxed geometry, with properties calculated at the PBE-GGA level.

```
Tb2PdAu8
1.0
-0.173 -4.893 0.574
6.567 -0.012 1.878
-4.994 3.254 5.059
Tb Pd Au
2 1 8
direct
0.205 0.705 0.409
0.795 0.295 0.591
0.500 0.000 0.000
0.630 0.424 0.260
0.370 0.165 0.741
0.164 0.164 0.327
0.000 0.719 0.000
0.836 0.836 0.673
0.630 0.835 0.259
0.370 0.576 0.740
0.000 0.281 0.000
```

Values from the calculation:
Uncorrected energy ... -4.17 eV/atom
Space group ... Immm (71)
Energy relative to the elements ... -0.472 eV per atom
Total magnetization ... 0.00 μB/cell
Density ... 15.0 Mg/m³